[1]
Below is a relaxed GdAgSb2 crystal, with properties calculated at the PBE-GGA level.

- Formation energy (no corrections): -511 meV per atom
- Density of states at the Fermi level: 2.453 states/eV/f.u.
- DFT total energy: -27.22 eV/f.u.
- Space group: P4/mmm, No. 123
- Total magnetic moment: 6.9 Bohr magnetons per cell

abc: 4.2935 4.7953 4.7953
angles: 90.00 90.00 90.00
With the nearest neighbours (Å) after each atom.
Fractional coordinates of all 4 atoms:
Sb1 0.0000 0.0000 0.5000  4 Gd 3.22, 4 Ag 3.22, 4 Sb 3.39
Sb2 0.0000 0.5000 0.0000  4 Gd 3.22, 4 Ag 3.22, 4 Sb 3.39
Ag1 0.5000 0.0000 0.0000  8 Sb 3.22, 4 Gd 3.39
Gd1 0.5000 0.5000 0.5000  8 Sb 3.22, 4 Ag 3.39

[2]
Below is a relaxed GdAg4Sb crystal, with properties calculated at the PBE-GGA level.

- Formation energy (no corrections): -191 meV per atom
- Density of states at the Fermi level: 3.824 states/eV/f.u.
- DFT total energy: -30.75 eV/f.u.
- Space group: F-43m, No. 216
- Total magnetic moment: 7.1 Bohr magnetons per cell

abc: 5.6713 5.6713 5.6713
angles: 60.00 60.00 60.00
With the nearest neighbours (Å) after each atom.
Fractional coordinates of all 6 atoms:
Ag1 0.6251 0.6251 0.1246  6 Ag 2.83-2.84
Ag2 0.6251 0.6251 0.6251  6 Ag 2.83-2.84
Ag3 0.6251 0.1246 0.6251  6 Ag 2.83-2.84
Ag4 0.1246 0.6251 0.6251  6 Ag 2.83-2.84
Sb1 0.2500 0.2500 0.2500  12 Ag 3.33, 4 Gd 3.47
Gd1 0.0000 0.0000 0.0000  12 Ag 3.32, 4 Sb 3.47

[3]
Below is a relaxed Gd2AgSb crystal, with properties calculated at the PBE-GGA level.

- Formation energy (no corrections): -665 meV per atom
- Density of states at the Fermi level: 3.253 states/eV/f.u.
- DFT total energy: -37.80 eV/f.u.
- Space group: P4/mmm, No. 123
- Total magnetic moment: 15.0 Bohr magnetons per cell

abc: 4.0009 5.0910 5.0910
angles: 90.00 90.00 90.00
With the nearest neighbours (Å) after each atom.
Fractional coordinates of all 4 atoms:
Gd1 0.0000 0.5000 0.0000  4 Sb 3.24, 4 Ag 3.24, 4 Gd 3.60
Gd2 0.0000 0.0000 0.5000  4 Sb 3.24, 4 Ag 3.24, 4 Gd 3.60
Ag1 0.5000 0.5000 0.5000  8 Gd 3.24, 4 Sb 3.60
Sb1 0.5000 0.0000 0.0000  8 Gd 3.24, 4 Ag 3.60

[4]
Below is a relaxed GdScAgSb crystal, with properties calculated at the PBE-GGA level.

- Formation energy (no corrections): -527 meV per atom
- Density of states at the Fermi level: 3.722 states/eV/f.u.
- DFT total energy: -29.50 eV/f.u.
- Space group: F-43m, No. 216
- Total magnetic moment: 8.2 Bohr magnetons per cell

abc: 5.1252 5.1252 5.1252
angles: 60.00 60.00 60.00
With the nearest neighbours (Å) after each atom.
Fractional coordinates of all 4 atoms:
Sc1 0.5000 0.5000 0.5000  4 Ag 3.14, 4 Sb 3.14
Ag1 0.2500 0.2500 0.2500  4 Gd 3.14, 4 Sc 3.14
Sb1 0.7500 0.7500 0.7500  4 Gd 3.14, 4 Sc 3.14
Gd1 0.0000 0.0000 0.0000  4 Sb 3.14, 4 Ag 3.14

[5]
Below is a relaxed SmGdAgSb crystal, with properties calculated at the PBE-GGA level.

- Formation energy (no corrections): -596 meV per atom
- Density of states at the Fermi level: 5.040 states/eV/f.u.
- DFT total energy: -28.16 eV/f.u.
- Space group: F-43m, No. 216
- Total magnetic moment: 8.1 Bohr magnetons per cell

abc: 5.3061 5.3061 5.3061
angles: 60.00 60.00 60.00
With the nearest neighbours (Å) after each atom.
Fractional coordinates of all 4 atoms:
Ag1 0.7500 0.7500 0.7500  4 Gd 3.25, 4 Sm 3.25
Gd1 0.5000 0.5000 0.5000  4 Sb 3.25, 4 Ag 3.25
Sb1 0.2500 0.2500 0.2500  4 Sm 3.25, 4 Gd 3.25
Sm1 0.0000 0.0000 0.0000  4 Ag 3.25, 4 Sb 3.25

[6]
Below is a relaxed SrGdAgSb crystal, with properties calculated at the PBE-GGA level.

- Formation energy (no corrections): -564 meV per atom
- Density of states at the Fermi level: 6.484 states/eV/f.u.
- DFT total energy: -24.99 eV/f.u.
- Space group: F-43m, No. 216
- Total magnetic moment: 7.5 Bohr magnetons per cell

abc: 5.4496 5.4496 5.4496
angles: 60.00 60.00 60.00
With the nearest neighbours (Å) after each atom.
Fractional coordinates of all 4 atoms:
Sr1 0.0000 0.0000 0.0000  4 Sb 3.34, 4 Ag 3.34
Gd1 0.5000 0.5000 0.5000  4 Ag 3.34, 4 Sb 3.34
Ag1 0.2500 0.2500 0.2500  4 Sr 3.34, 4 Gd 3.34
Sb1 0.7500 0.7500 0.7500  4 Gd 3.34, 4 Sr 3.34

[7]
Below is a relaxed TbGdAgSb crystal, with properties calculated at the PBE-GGA level.

- Formation energy (no corrections): -584 meV per atom
- Density of states at the Fermi level: 4.591 states/eV/f.u.
- DFT total energy: -28.02 eV/f.u.
- Space group: F-43m, No. 216
- Total magnetic moment: 8.1 Bohr magnetons per cell

abc: 5.2640 5.2640 5.2640
angles: 60.00 60.00 60.00
With the nearest neighbours (Å) after each atom.
Fractional coordinates of all 4 atoms:
Sb1 0.2500 0.2500 0.2500  4 Gd 3.22, 4 Tb 3.22
Ag1 0.7500 0.7500 0.7500  4 Tb 3.22, 4 Gd 3.22
Tb1 0.5000 0.5000 0.5000  4 Sb 3.22, 4 Ag 3.22
Gd1 0.0000 0.0000 0.0000  4 Sb 3.22, 4 Ag 3.22

[8]
Below is a relaxed GdTmAgSb crystal, with properties calculated at the PBE-GGA level.

- Formation energy (no corrections): -550 meV per atom
- Density of states at the Fermi level: 3.861 states/eV/f.u.
- DFT total energy: -27.72 eV/f.u.
- Space group: F-43m, No. 216
- Total magnetic moment: 8.2 Bohr magnetons per cell

abc: 5.2243 5.2243 5.2243
angles: 60.00 60.00 60.00
With the nearest neighbours (Å) after each atom.
Fractional coordinates of all 4 atoms:
Ag1 0.2500 0.2500 0.2500  4 Gd 3.20, 4 Tm 3.20
Gd1 0.0000 0.0000 0.0000  4 Sb 3.20, 4 Ag 3.20
Sb1 0.7500 0.7500 0.7500  4 Gd 3.20, 4 Tm 3.20
Tm1 0.5000 0.5000 0.5000  4 Sb 3.20, 4 Ag 3.20

[9]
Below is a relaxed GdScAg crystal, with properties calculated at the PBE-GGA level.

- Energy above the lowest structure with this stoichiometry: 0.0 kJ per mole of atoms
- Density of states at the Fermi level: 3.130 states/eV/f.u.
- ΔE_f: -0.16 eV per atom
- DFT total energy: -23.75 eV/f.u.
- Space group: I4mm, No. 107
- Total magnetic moment: 8.3 Bohr magnetons per cell

abc: 3.5108 3.5108 6.4819
angles: 105.71 105.71 90.00
With the nearest neighbours (Å) after each atom.
Fractional coordinates of all 3 atoms:
Ag1 0.6811 0.6811 0.3621  4 Sc 2.93, 4 Gd 3.23
Gd1 0.0080 0.0080 0.0160  4 Ag 3.23, 4 Sc 3.43, 4 Gd 3.51
Sc1 0.3109 0.3109 0.6219  4 Ag 2.93

[10]
Below is a relaxed GdScAg4 crystal, with properties calculated at the PBE-GGA level.

- Density of states at the Fermi level: 5.693 states/eV/f.u.
- ΔE_f: -0.12 eV per atom
- DFT total energy: -32.57 eV/f.u.
- Space group: F-43m, No. 216
- Total magnetic moment: 7.1 Bohr magnetons per cell

abc: 5.6395 5.6395 5.6395
angles: 60.00 60.00 60.00
With the nearest neighbours (Å) after each atom.
Fractional coordinates of all 6 atoms:
Ag1 0.6246 0.6246 0.1262  6 Ag 2.81-2.83
Ag2 0.6246 0.1262 0.6246  6 Ag 2.81-2.83
Ag3 0.1262 0.6246 0.6246  6 Ag 2.81-2.83
Ag4 0.6246 0.6246 0.6246  6 Ag 2.81-2.83
Gd1 0.0000 0.0000 0.0000  12 Ag 3.31, 4 Sc 3.45
Sc1 0.2500 0.2500 0.2500  12 Ag 3.31, 4 Gd 3.45

| no. | calculated density (Mg/m³) | calculated volume (Å³/cell) |
| --- | --- | --- |
| 1 | 8.55 | 98.7 |
| 2 | 9.15 | 129.0 |
| 3 | 8.71 | 103.7 |
| 4 | 7.53 | 95.2 |
| 5 | 8.45 | 105.6 |
| 6 | 6.88 | 114.4 |
| 7 | 8.79 | 103.1 |
| 8 | 9.15 | 100.8 |
| 9 | 6.98 | 73.8 |
| 10 | 8.30 | 126.8 |